The following is a PBE calculation of a relaxed Ta2ReSi crystal, from Alexandria via LeMat-Bulk.

## Properties
The value obtained for the energy relative to the elements, uncorrected is 0.505 eV/atom. Its space group is I-42d (122).

Cell lengths 7.045, 7.045, 5.722 Å; angles 52.00, 52.00, 90.00 degrees
Fractional coordinates of all 8 atoms:
Re  0.750  0.250  0.500
Re  0.000  0.000  0.000
Si  0.250  0.750  0.500
Ta  0.375  0.382  0.750
Ta  0.618  0.125  0.250
Ta  0.875  0.868  0.750
Si  0.500  0.500  0.000
Ta  0.132  0.625  0.250

The following is a PBE calculation of a relaxed TaRe2Si crystal, from Alexandria via LeMat-Bulk.

## Properties
The value obtained for the energy relative to the elements, uncorrected is 0.100 eV/atom. Its space group is F-43m (216).

Cell lengths 4.406, 4.406, 4.406 Å; angles 60.00, 60.00, 60.00 degrees
Fractional coordinates of all 4 atoms:
Re  0.000  0.000  0.000
Si  0.500  0.500  0.500
Re  0.250  0.250  0.250
Ta  0.750  0.750  0.750

The following is a PBE calculation of a relaxed TaRe2Si crystal, from Alexandria via LeMat-Bulk.

## Properties
The value obtained for the energy relative to the elements, uncorrected is 0.024 eV/atom. Its space group is R3m (160).

Cell lengths 9.030, 9.030, 9.030 Å; angles 18.03, 18.03, 18.03 degrees
Fractional coordinates of all 4 atoms:
Re  0.995  0.995  0.995
Re  0.248  0.248  0.248
Ta  0.753  0.753  0.753
Si  0.504  0.504  0.504

The following is a PBE calculation of a relaxed TaRe2Si crystal, from Alexandria via LeMat-Bulk.

## Properties
The value obtained for the energy relative to the elements, uncorrected is -0.099 eV/atom. Its space group is Pmm2 (25).

Cell lengths 2.860, 4.059, 5.240 Å; angles 90.00, 90.00, 90.00 degrees
Fractional coordinates of all 4 atoms:
Re  0.000  0.000  0.011
Re  0.500  0.500  0.254
Si  0.000  0.000  0.493
Ta  0.500  0.500  0.743

The following is a PBE calculation of a relaxed TaRe2Si crystal, from Alexandria via LeMat-Bulk.

## Properties
The value obtained for the energy relative to the elements, uncorrected is -0.144 eV/atom. Its space group is Pm (6).

Cell lengths 4.366, 2.881, 5.002 Å; angles 76.86, 90.00, 90.00 degrees
Fractional coordinates of all 4 atoms:
Re  0.000  0.999  0.031
Si  0.000  0.339  0.502
Re  0.500  0.349  0.238
Ta  0.500  0.813  0.730

The following is a PBE calculation of a relaxed TaRe4Si crystal, from Alexandria via LeMat-Bulk.

## Properties
The value obtained for the energy relative to the elements, uncorrected is 0.344 eV/atom. Its space group is F-43m (216).

Cell lengths 5.168, 5.168, 5.168 Å; angles 60.00, 60.00, 60.00 degrees
Fractional coordinates of all 6 atoms:
Ta  0.000  0.000  0.000
Re  0.376  0.873  0.376
Re  0.376  0.376  0.873
Re  0.873  0.376  0.376
Re  0.376  0.376  0.376
Si  0.750  0.750  0.750

The following is a PBE calculation of a relaxed TaRe2Si crystal, from Alexandria via LeMat-Bulk.

## Properties
The value obtained for the energy relative to the elements, uncorrected is -0.064 eV/atom. Its space group is P2/m (10).

Cell lengths 4.476, 2.803, 4.905 Å; angles 88.78, 90.00, 90.00 degrees
Fractional coordinates of all 4 atoms:
Re  0.000  0.072  0.004
Ta  0.500  0.750  0.750
Si  0.500  0.250  0.250
Re  0.000  0.428  0.496

The following is a PBE calculation of a relaxed TaRe2Si crystal, from Alexandria via LeMat-Bulk.

## Properties
The value obtained for the energy relative to the elements, uncorrected is -0.147 eV/atom. Its space group is P4mm (99).

Cell lengths 2.876, 2.876, 7.290 Å; angles 90.00, 90.00, 90.00 degrees
Fractional coordinates of all 4 atoms:
Si  0.000  0.000  0.477
Ta  0.500  0.500  0.731
Re  0.500  0.500  0.267
Re  0.000  0.000  0.026

The following is a PBE calculation of a relaxed Ta2ReSi crystal, from Alexandria via LeMat-Bulk.

## Properties
The value obtained for the energy relative to the elements, uncorrected is -0.157 eV/atom. Its space group is P4mm (99).

Cell lengths 3.318, 3.321, 5.832 Å; angles 90.00, 90.00, 90.00 degrees
Fractional coordinates of all 4 atoms:
Ta  0.500  0.500  0.253
Re  0.000  0.000  0.520
Si  0.500  0.500  0.744
Ta  0.000  0.000  0.982

The following is a PBE calculation of a relaxed Ta2ReSi crystal, from Alexandria via LeMat-Bulk.

## Properties
The value obtained for the energy relative to the elements, uncorrected is -0.190 eV/atom. Its space group is Immm (71).

Cell lengths 5.118, 5.118, 4.418 Å; angles 64.36, 64.36, 38.21 degrees
Fractional coordinates of all 4 atoms:
Re  0.750  0.750  0.750
Ta  0.497  0.497  0.503
Si  0.250  0.250  0.250
Ta  0.003  0.003  0.997

The following is a PBE calculation of a relaxed TaRe2Si crystal, from Alexandria via LeMat-Bulk.

## Properties
The value obtained for the energy relative to the elements, uncorrected is 0.034 eV/atom. Its space group is Pmmm (47).

Cell lengths 3.104, 4.625, 4.226 Å; angles 90.00, 90.00, 90.00 degrees
Fractional coordinates of all 4 atoms:
Re  0.000  0.000  0.000
Si  0.500  0.000  0.500
Ta  0.000  0.500  0.500
Re  0.500  0.500  0.000

The following is a PBE calculation of a relaxed Ta2ReSi crystal, from Alexandria via LeMat-Bulk.

## Properties
The value obtained for the energy relative to the elements, uncorrected is -0.170 eV/atom. Its space group is P4/mmm (123).

Cell lengths 4.034, 4.034, 3.924 Å; angles 90.00, 90.00, 90.00 degrees
Fractional coordinates of all 4 atoms:
Si  0.000  0.500  0.500
Ta  0.000  0.000  0.000
Ta  0.500  0.500  0.000
Re  0.500  0.000  0.500

The following is a PBE calculation of a relaxed TaRe2Si crystal, from Alexandria via LeMat-Bulk.

## Properties
The value obtained for the energy relative to the elements, uncorrected is 0.063 eV/atom. Its space group is R-3m (166).

Cell lengths 8.848, 8.848, 8.848 Å; angles 18.52, 18.52, 18.52 degrees
Fractional coordinates of all 4 atoms:
Re  0.993  0.993  0.993
Si  0.250  0.250  0.250
Ta  0.750  0.750  0.750
Re  0.507  0.507  0.507

The following is a PBE calculation of a relaxed Ta2ReSi crystal, from Alexandria via LeMat-Bulk.

## Properties
The value obtained for the energy relative to the elements, uncorrected is -0.203 eV/atom. Its space group is Pmmm (47).

Cell lengths 3.332, 3.319, 6.686 Å; angles 60.22, 90.00, 90.00 degrees
Fractional coordinates of all 4 atoms:
Si  0.500  0.750  0.750
Ta  0.000  0.488  0.512
Ta  0.000  0.012  0.988
Re  0.500  0.250  0.250

The following is a PBE calculation of a relaxed TaReSiTe2 crystal, from Alexandria via LeMat-Bulk.

## Properties
The value obtained for the energy relative to the elements, uncorrected is 1.468 eV/atom. Its space group is P4/mmm (123).

Cell lengths 5.363, 4.916, 5.363 Å; angles 90.00, 90.00, 90.00 degrees
Fractional coordinates of all 5 atoms:
Ta  0.000  0.000  0.000
Te  0.500  0.000  0.000
Te  0.000  0.000  0.500
Re  0.000  0.500  0.000
Si  0.500  0.500  0.500

The following is a PBE calculation of a relaxed TaTiReSi2 crystal, from Alexandria via LeMat-Bulk.

## Properties
The value obtained for the energy relative to the elements, uncorrected is 0.968 eV/atom. Its space group is P4/mmm (123). The excess energy over the best structure of this formula in the dataset is 0.000 eV/atom.

Cell lengths 4.525, 4.824, 4.525 Å; angles 90.00, 90.00, 90.00 degrees
Fractional coordinates of all 5 atoms:
Si  0.000  0.000  0.500
Ti  0.000  0.500  0.000
Si  0.500  0.000  0.000
Ta  0.500  0.500  0.500
Re  0.000  0.000  0.000

The following is a PBE calculation of a relaxed YTaRe2Si crystal, from Alexandria via LeMat-Bulk.

## Properties
The value obtained for the energy relative to the elements, uncorrected is 0.628 eV/atom. Its space group is P4/mmm (123).

Cell lengths 4.560, 4.688, 4.560 Å; angles 90.00, 90.00, 90.00 degrees
Fractional coordinates of all 5 atoms:
Y  0.500  0.500  0.500
Re  0.000  0.000  0.500
Ta  0.000  0.500  0.000
Si  0.000  0.000  0.000
Re  0.500  0.000  0.000

The following is a PBE calculation of a relaxed TbRe4Si4 crystal, from Alexandria via LeMat-Bulk.

## Properties
The value obtained for the energy relative to the elements, uncorrected is -0.259 eV/atom. Its space group is P4_2/n (86).

Cell lengths 4.708, 8.074, 8.074 Å; angles 90.00, 90.00, 90.00 degrees
Fractional coordinates of all 18 atoms:
Re  0.408  0.621  0.128
Re  0.092  0.879  0.372
Si  0.413  0.305  0.159
Re  0.908  0.372  0.121
Re  0.092  0.121  0.628
Re  0.408  0.379  0.872
Re  0.908  0.628  0.879
Tb  0.000  0.000  0.000
Si  0.913  0.341  0.805
Re  0.592  0.872  0.621
Si  0.413  0.695  0.841
Si  0.087  0.805  0.659
Si  0.913  0.659  0.195
Re  0.592  0.128  0.379
Tb  0.500  0.500  0.500
Si  0.587  0.159  0.695
Si  0.587  0.841  0.305
Si  0.087  0.195  0.341

The following is a PBE calculation of a relaxed Tb2Re3Si4 crystal, from Alexandria via LeMat-Bulk.

## Properties
The value obtained for the energy relative to the elements, uncorrected is -0.356 eV/atom. Its space group is Fmmm (69).

Cell lengths 5.434, 5.434, 6.815 Å; angles 101.27, 101.27, 120.64 degrees
Fractional coordinates of all 9 atoms:
Si  0.336  0.988  0.323
Si  0.664  0.012  0.677
Re  0.500  0.000  0.000
Re  0.000  0.500  0.000
Tb  0.639  0.639  0.279
Si  0.988  0.336  0.323
Tb  0.361  0.361  0.721
Si  0.012  0.664  0.677
Re  0.000  0.000  0.000

The following is a PBE calculation of a relaxed TbReSi2 crystal, from Alexandria via LeMat-Bulk.

## Properties
The value obtained for the energy relative to the elements, uncorrected is -0.581 eV/atom. Its space group is Pnma (62).

Cell lengths 3.984, 7.199, 9.951 Å; angles 90.00, 90.00, 90.00 degrees
Fractional coordinates of all 16 atoms:
Si  0.250  0.155  0.189
Si  0.750  0.782  0.428
Si  0.250  0.718  0.928
Si  0.750  0.845  0.811
Re  0.750  0.016  0.603
Re  0.250  0.484  0.103
Si  0.750  0.282  0.072
Si  0.750  0.345  0.689
Tb  0.750  0.855  0.129
Tb  0.250  0.645  0.629
Re  0.250  0.984  0.397
Tb  0.250  0.145  0.871
Si  0.250  0.655  0.311
Re  0.750  0.516  0.897
Tb  0.750  0.355  0.371
Si  0.250  0.218  0.572

The following is a PBE calculation of a relaxed TbReSi3 crystal, from Alexandria via LeMat-Bulk.

## Properties
The value obtained for the energy relative to the elements, uncorrected is -0.437 eV/atom. Its space group is Cmcm (63).

Cell lengths 5.866, 5.827, 5.840 Å; angles 119.92, 90.00, 90.00 degrees
Fractional coordinates of all 10 atoms:
Si  0.750  0.604  0.800
Re  0.500  0.000  0.000
Si  0.750  0.197  0.394
Tb  0.750  0.665  0.330
Si  0.250  0.396  0.200
Si  0.250  0.803  0.606
Si  0.250  0.804  0.200
Si  0.750  0.196  0.800
Re  0.000  0.000  0.000
Tb  0.250  0.335  0.670

The following is a PBE calculation of a relaxed TbRe3Si3 crystal, from Alexandria via LeMat-Bulk.

## Properties
The value obtained for the energy relative to the elements, uncorrected is 0.450 eV/atom. Its space group is Pm-3n (223). The excess energy over the best structure of this formula in the dataset is 0.794 eV/atom.

Cell lengths 6.609, 6.609, 6.609 Å; angles 90.00, 90.00, 90.00 degrees
Fractional coordinates of all 14 atoms:
Si  0.500  0.000  0.250
Re  0.250  0.000  0.500
Tb  0.000  0.000  0.000
Si  0.750  0.500  0.000
Si  0.000  0.750  0.500
Re  0.000  0.500  0.250
Si  0.250  0.500  0.000
Si  0.000  0.250  0.500
Si  0.500  0.000  0.750
Re  0.500  0.250  0.000
Re  0.750  0.000  0.500
Re  0.000  0.500  0.750
Tb  0.500  0.500  0.500
Re  0.500  0.750  0.000

The following is a PBE calculation of a relaxed TbReSi2 crystal, from Alexandria via LeMat-Bulk.

## Properties
The value obtained for the energy relative to the elements, uncorrected is -0.483 eV/atom. Its space group is R-3m (166).

Cell lengths 4.157, 4.157, 5.400 Å; angles 67.36, 67.36, 60.00 degrees
Fractional coordinates of all 4 atoms:
Si  0.288  0.288  0.136
Si  0.712  0.712  0.864
Tb  0.500  0.500  0.500
Re  0.000  0.000  0.000

The following is a PBE calculation of a relaxed TbRe3Si3 crystal, from Alexandria via LeMat-Bulk.

## Properties
The value obtained for the energy relative to the elements, uncorrected is -0.344 eV/atom. Its space group is P2_1/m (11). The excess energy over the best structure of this formula in the dataset is 0.000 eV/atom.

Cell lengths 4.196, 7.333, 9.821 Å; angles 127.46, 90.00, 90.00 degrees
Fractional coordinates of all 14 atoms:
Re  0.750  0.848  0.964
Si  0.750  0.802  0.205
Re  0.750  0.021  0.790
Tb  0.750  0.293  0.628
Si  0.750  0.391  0.094
Re  0.250  0.152  0.036
Si  0.250  0.198  0.795
Re  0.750  0.260  0.271
Si  0.750  0.623  0.550
Si  0.250  0.609  0.906
Tb  0.250  0.707  0.372
Si  0.250  0.377  0.450
Re  0.250  0.740  0.729
Re  0.250  0.979  0.210

The following is a PBE calculation of a relaxed TbReSi2 crystal, from Alexandria via LeMat-Bulk.

## Properties
The value obtained for the energy relative to the elements, uncorrected is -0.391 eV/atom. Its space group is Pnma (62).

Cell lengths 4.230, 6.710, 10.757 Å; angles 90.00, 90.00, 90.00 degrees
Fractional coordinates of all 16 atoms:
Si  0.250  0.836  0.273
Si  0.750  0.664  0.773
Tb  0.750  0.565  0.354
Re  0.750  0.872  0.594
Re  0.250  0.628  0.094
Tb  0.750  0.065  0.146
Re  0.250  0.128  0.406
Si  0.750  0.214  0.503
Si  0.250  0.336  0.227
Tb  0.250  0.935  0.854
Si  0.250  0.286  0.003
Si  0.250  0.786  0.497
Tb  0.250  0.435  0.646
Re  0.750  0.372  0.906
Si  0.750  0.164  0.727
Si  0.750  0.714  0.997

The following is a PBE calculation of a relaxed Re2Si4Tc crystal, from Alexandria via LeMat-Bulk.

## Properties
The value obtained for the energy relative to the elements, uncorrected is 0.802 eV/atom. Its space group is I4/mmm (139).

Cell lengths 4.485, 4.485, 6.891 Å; angles 71.01, 71.01, 90.00 degrees
Fractional coordinates of all 7 atoms:
Si  0.000  0.500  0.000
Si  0.202  0.202  0.596
Si  0.798  0.798  0.404
Si  0.500  0.000  0.000
Re  0.394  0.394  0.212
Tc  0.000  0.000  0.000
Re  0.606  0.606  0.788